(1)
The following is a PBE-GGA calculation of crystalline La2Pr4Tm at its relaxed geometry, from Alexandria via LeMat-Bulk.

extended XYZ file:
```
7
Lattice="-3.4628 -0.5964 1.2022 -2.4093 -1.8611 -2.1269 4.1644 -18.7362 8.4355" Properties=species:S:1:pos:R:3 pbc="T T T"
Pr -3.6550 -8.9466 2.2421
La 0.8776 -15.6645 6.2285
Pr 1.9472 -12.2472 5.2688
Pr -1.5072 -2.1367 0.3347
Pr -0.2005 -19.0571 7.1762
Tm -0.8539 -10.5969 3.7555
La -2.5854 -5.5293 1.2824
```

Results
As for the volume: 35.587 A^3/atom. Its symmetry is No. 166. The density of states at the Fermi level comes out at 1.499 states/eV/atom. The formation energy from the elements is 0.01 eV per atom. The calculation puts the mass density at 6.735 Mg/m³. As for the calculated total energy: -4.765 eV per atom.

---

(2)
The following is a PBE-GGA calculation of crystalline LaPrTm3 at its relaxed geometry, from Alexandria via LeMat-Bulk.

extended XYZ file:
```
10
Lattice="0.1717 0.7077 -6.1724 -3.3039 -3.9161 3.5183 -8.3098 7.5834 0.6380" Properties=species:S:1:pos:R:3 pbc="T T T"
Tm -8.7551 3.7668 0.6623
Tm -5.5610 5.0745 0.4268
Tm -2.6869 0.6082 -2.6785
La -6.2482 1.4862 0.4618
La -5.1938 2.8889 -2.4780
Tm -3.7473 -0.8025 0.2781
Pr -0.2981 0.0828 -4.8626
Pr -2.8341 -3.2911 2.2084
Tm -7.6947 5.1775 -2.2943
Tm -5.8810 -0.6995 -2.4430
```

Results
The calculation puts the energy above the lowest structure with this stoichiometry at 0.00 kJ per mole of atoms. As for the volume: 33.130 A^3/atom. Its symmetry is No. 65. The density of states at the Fermi level comes out at 1.490 states/eV/atom. The formation energy from the elements is 0.18 eV per atom. The calculation puts the mass density at 7.885 Mg/m³. As for the calculated total energy: -4.443 eV per atom.

---

(3)
The following is a PBE-GGA calculation of crystalline La3PrTm at its relaxed geometry, from Alexandria via LeMat-Bulk.

extended XYZ file:
```
10
Lattice="6.0621 0.0000 0.0000 -3.0310 4.9187 0.0000 0.0000 0.0000 12.0918" Properties=species:S:1:pos:R:3 pbc="T T T"
Pr 0.0000 0.0000 0.0000
La 0.0000 3.4890 10.8847
La 0.0000 3.4890 7.2530
Tm 0.0000 2.9041 3.0229
La 0.0000 0.5249 9.0688
La 3.0310 4.3938 3.0229
Pr 0.0000 0.0000 6.0459
La 3.0310 1.4296 4.8388
La 3.0310 1.4296 1.2071
Tm 3.0310 2.0146 9.0688
```

Results
The calculation puts the energy above the lowest structure with this stoichiometry at 3.70 kJ per mole of atoms. As for the volume: 36.055 A^3/atom. Its symmetry is No. 63. The density of states at the Fermi level comes out at 1.535 states/eV/atom. The formation energy from the elements is 0.20 eV per atom. The calculation puts the mass density at 6.693 Mg/m³. As for the calculated total energy: -4.605 eV per atom.

---

(4)
The following is a PBE-GGA calculation of crystalline La12PrTm6 at its relaxed geometry, from Alexandria via LeMat-Bulk.

extended XYZ file:
```
19
Lattice="8.9069 0.1056 -2.7522 -3.7591 8.0755 -2.7522 0.0664 0.1056 9.3222" Properties=species:S:1:pos:R:3 pbc="T T T"
Tm 5.2514 4.5771 4.8974
La -1.8873 6.7268 0.0384
La -1.0810 5.8567 5.6284
Tm 1.4198 7.6195 3.5270
La 3.3148 3.9531 -1.0308
La -0.3395 4.6990 2.3413
La 3.5558 1.7273 3.4714
Pr 0.0000 0.0000 0.0000
La 5.5538 3.5876 1.4764
Tm -0.0144 1.5718 3.5294
Tm 3.7945 0.6672 0.2907
La 3.0994 7.0772 -2.7304
La 1.8994 4.3336 4.8485
La 7.1016 1.5598 3.7793
Tm 5.2286 6.7149 0.2883
La 2.1149 1.2094 6.5482
La 1.6585 6.5594 0.3463
Tm -0.0371 3.7095 -1.0797
La 6.2953 2.4300 -1.8107
```

Results
As for the volume: 35.756 A^3/atom. Its symmetry is No. 148. The density of states at the Fermi level comes out at 1.643 states/eV/atom. The formation energy from the elements is 0.22 eV per atom. The calculation puts the mass density at 6.896 Mg/m³. As for the calculated total energy: -4.551 eV per atom.

---

(5)
The following is a PBE-GGA calculation of crystalline La4Pr2Tm at its relaxed geometry, from Alexandria via LeMat-Bulk.

extended XYZ file:
```
14
Lattice="7.9737 1.5525 -1.3575 -2.9569 5.5895 -1.0174 1.1337 2.3506 9.4277" Properties=species:S:1:pos:R:3 pbc="T T T"
La 5.9031 6.8185 4.1299
La 5.8096 3.1123 4.3296
La 7.3157 6.9714 7.5317
Pr 1.0100 3.3713 6.2950
La -0.2584 6.9145 2.6811
Tm 4.2611 8.8744 6.7193
Pr 4.4376 2.9694 0.8954
La 1.3910 4.8613 0.0811
La -0.3627 3.2435 2.8845
Pr 4.1859 5.1800 6.8940
Tm 2.7849 5.0083 3.4892
La 1.1448 7.0657 6.0791
Pr 4.5125 6.6617 0.6999
La 1.2607 1.1512 0.2715
```

Results
The calculation puts the energy above the lowest structure with this stoichiometry at 0.00 kJ per mole of atoms. As for the volume: 35.627 A^3/atom. Its symmetry is No. 1. The density of states at the Fermi level comes out at 1.718 states/eV/atom. The formation energy from the elements is 0.02 eV per atom. The calculation puts the mass density at 6.701 Mg/m³. As for the calculated total energy: -4.804 eV per atom.

---

(6)
The following is a PBE-GGA calculation of crystalline La4Pr4Tm at its relaxed geometry, from Alexandria via LeMat-Bulk.

extended XYZ file:
```
9
Lattice="6.0658 0.3780 2.0349 3.7939 5.0284 1.1873 1.9362 -2.8268 11.7903" Properties=species:S:1:pos:R:3 pbc="T T T"
La 5.5125 0.1655 10.5120
La 6.2834 2.4142 4.5004
Pr 8.8545 1.7757 10.3745
Pr 2.9414 0.8040 4.6379
La 6.1066 2.9951 8.1783
La 5.6893 -0.4154 6.8341
Pr 8.2669 -1.0496 12.6834
Pr 3.5290 3.6293 2.3290
Tm 3.0329 0.1890 1.0174
```

Results
As for the volume: 35.812 A^3/atom. Its symmetry is No. 12. The density of states at the Fermi level comes out at 1.751 states/eV/atom. The formation energy from the elements is 0.02 eV per atom. The calculation puts the mass density at 6.637 Mg/m³. As for the calculated total energy: -4.795 eV per atom.

---

(7)
The following is a PBE-GGA calculation of crystalline La3Pr2Tm3 at its relaxed geometry, from Alexandria via LeMat-Bulk.

extended XYZ file:
```
8
Lattice="-4.0549 -2.7521 1.2611 1.8132 -3.9591 -2.8101 6.1742 -0.2609 9.1305" Properties=species:S:1:pos:R:3 pbc="T T T"
La -2.0275 -1.3761 0.6306
Tm 1.2634 -0.9042 2.0891
Pr 0.4855 -3.1745 4.7859
Pr 3.4470 -3.7976 2.7956
La 3.8283 -2.7398 6.3304
Tm 0.9066 -1.9796 -1.4050
La 0.1041 -4.2323 1.2511
Tm 2.6691 -6.0680 5.4924
```

Results
The calculation puts the energy above the lowest structure with this stoichiometry at 0.00 kJ per mole of atoms. As for the volume: 34.137 A^3/atom. Its symmetry is No. 71. The density of states at the Fermi level comes out at 1.642 states/eV/atom. The formation energy from the elements is 0.03 eV per atom. The calculation puts the mass density at 7.329 Mg/m³. As for the calculated total energy: -4.692 eV per atom.

---

(8)
The following is a PBE-GGA calculation of crystalline La8Pr5Tm at its relaxed geometry, from Alexandria via LeMat-Bulk.

extended XYZ file:
```
14
Lattice="8.7581 -0.0330 0.0567 -2.9945 8.2304 -0.0567 -2.7692 -4.1779 7.1823" Properties=species:S:1:pos:R:3 pbc="T T T"
Pr -0.5287 -3.2288 7.0201
La -0.8447 5.7425 0.4403
La 6.0124 -1.9179 4.8307
La -2.8347 4.0536 3.3994
Pr 2.9945 -2.1054 3.6195
Pr 3.1294 2.6774 5.1507
La -0.0741 3.8676 5.9099
La 2.0564 3.8520 1.8431
La 2.0044 -0.5823 6.6282
Pr 4.4551 6.5930 1.2887
La 4.7628 0.7157 2.4940
La 0.8953 0.3469 3.1837
Pr -1.0669 1.9973 0.9052
Tm -1.3846 0.9735 5.3726
```

Results
As for the volume: 36.924 A^3/atom. Its symmetry is No. 82. The density of states at the Fermi level comes out at 1.625 states/eV/atom. The formation energy from the elements is 0.22 eV per atom. The calculation puts the mass density at 6.375 Mg/m³. As for the calculated total energy: -4.624 eV per atom.

---

(9)
The following is a PBE-GGA calculation of crystalline LaPr4Tm7 at its relaxed geometry, from Alexandria via LeMat-Bulk.

extended XYZ file:
```
12
Lattice="6.9256 1.8772 0.8557 5.1495 7.6960 2.4387 -0.9562 -0.4287 8.8584" Properties=species:S:1:pos:R:3 pbc="T T T"
Tm 6.2107 3.0234 4.1580
Tm 4.3192 4.3256 1.4496
Pr 2.7509 2.0933 3.7093
Pr 7.0476 6.3917 5.1813
La 0.0000 0.0000 0.0000
Pr 8.3680 7.0512 8.4435
Pr 4.0714 2.7528 6.9715
Tm 3.4628 0.9386 0.4279
Tm 4.9082 6.1211 7.9948
Tm 7.5095 3.6669 7.4245
Tm 6.7997 4.8190 10.7032
Tm 3.6094 5.4776 4.7283
```

Results
The calculation puts the energy above the lowest structure with this stoichiometry at 0.00 kJ per mole of atoms. As for the volume: 32.816 A^3/atom. Its symmetry is No. 2. The density of states at the Fermi level comes out at 1.444 states/eV/atom. The formation energy from the elements is 0.02 eV per atom. The calculation puts the mass density at 7.949 Mg/m³. As for the calculated total energy: -4.592 eV per atom.

---

(10)
The following is a PBE-GGA calculation of crystalline LaPrTm2 at its relaxed geometry, from Alexandria via LeMat-Bulk.

extended XYZ file:
```
8
Lattice="6.8943 1.1027 1.5936 -2.3325 6.5807 -1.5936 -2.3325 -3.8111 5.5966" Properties=species:S:1:pos:R:3 pbc="T T T"
Tm 5.1429 4.7360 1.2972
Pr 1.1146 -0.6618 4.5958
La 0.0000 0.0000 0.0000
Pr -2.3325 1.3848 2.0015
Tm 1.6997 1.5888 2.3010
La 1.1146 4.5341 1.0007
Tm -0.6367 2.9760 4.2963
Tm -1.7474 -1.5560 3.2987
```

Results
The calculation puts the energy above the lowest structure with this stoichiometry at 38.04 kJ per mole of atoms. As for the volume: 33.645 A^3/atom. Its symmetry is No. 122. The density of states at the Fermi level comes out at 1.693 states/eV/atom. The formation energy from the elements is 0.41 eV per atom. The calculation puts the mass density at 7.621 Mg/m³. As for the calculated total energy: -4.250 eV per atom.